The following is a GGA+U calculation of a geometry-optimized K4NaV3F12 structure, from the Alexandria database.

## Properties
ρ: 3099 kg/m³
final energy: -5.329 eV/atom
N(E_F): 40.88 states/eV per cell

abc: 8.4359 8.4359 8.4359
angles: 90.00 90.00 90.00
Space group Im-3m (No. 229)
Symmetry-distinct sites (fractional):
K: 0.2500 0.2500 0.2500 (multiplicity 8)
Na: 0.0000 0.0000 0.0000 (multiplicity 2)
V: 0.0000 0.0000 0.5000 (multiplicity 6)
F: 0.0000 0.0000 0.2635 (multiplicity 12)
F: 0.0000 0.2500 0.5000 (multiplicity 12)